# 1
This record from Alexandria describes a PBEsol-optimized structure of KCoO2. The functional is SCAN.

Results
calculated volume: 13.6 Å³ per atom
raw total energy: -172.60 eV per cell

Geometry as CIF:
```
data_KCoO2
_cell_length_a 5.753
_cell_length_b 5.753
_cell_length_c 6.565
_cell_angle_alpha 90.00
_cell_angle_beta 90.00
_cell_angle_gamma 90.00
_space_group_name_H-M_alt 'I -4 2 d'
_space_group_IT_number 122
_space_group_name_Hall 'I -4 2bw'
loop_
_atom_site_label
_atom_site_type_symbol
_atom_site_fract_x
_atom_site_fract_y
_atom_site_fract_z
_atom_site_occupancy
K1 K 0.000 0.000 0.000 1
Co1 Co 0.000 0.000 0.500 1
O1 O 0.117 0.250 0.625 1
```



# 2
This record from Alexandria describes a PBEsol-optimized structure of KCoO2. The functional is SCAN.

Results
calculated volume: 14.4 Å³ per atom
raw total energy: -174.61 eV per cell

Geometry as CIF:
```
data_KCoO2
_cell_length_a 3.174
_cell_length_b 5.934
_cell_length_c 12.216
_cell_angle_alpha 90.00
_cell_angle_beta 90.00
_cell_angle_gamma 90.00
_space_group_name_H-M_alt 'I m m m'
_space_group_IT_number 71
_space_group_name_Hall '-I 2 2'
loop_
_atom_site_label
_atom_site_type_symbol
_atom_site_fract_x
_atom_site_fract_y
_atom_site_fract_z
_atom_site_occupancy
K1 K 0.000 0.000 0.134 1
Co1 Co 0.000 0.000 0.400 1
O1 O 0.000 0.239 0.500 1
O2 O 0.000 0.500 0.179 1
```



In states/eV/cell, the D(E_F) values for the records above are, in order, 5.409; 3.013.
In μB per cell, the magnetization values for the records above are, in order, 0.00; 16.00.
In eV/atom, the uncorrected formation energy values for the records above are, in order, -1.2635; -1.3893.